[1]
Computed, not measured: an optimized crystal structure of PrMn3As3 at the GGA-PBE level of DFT.

Cell and atoms, written as CIF:
```
data_PrMn3As3
_cell_length_a 6.590
_cell_length_b 6.590
_cell_length_c 6.590
_cell_angle_alpha 90.00
_cell_angle_beta 90.00
_cell_angle_gamma 90.00
_space_group_name_H-M_alt 'P m -3 n'
_space_group_IT_number 223
_space_group_name_Hall '-P 4n 2 3'
loop_
_atom_site_label
_atom_site_fract_x
_atom_site_fract_y
_atom_site_fract_z
Pr1 0.000 0.000 0.000
Mn1 0.000 0.250 0.500
As1 0.000 0.500 0.250
```

* V: 143.1 Å³/f.u.
* mass density: 6.16 g/cm³
* electronic total energy: -6.71 eV/atom

***

[2]
Computed, not measured: an optimized crystal structure of Pu2TlO5 at the GGA-PBE level of DFT.

Cell and atoms, written as CIF:
```
data_Pu2TlO5
_cell_length_a 3.544
_cell_length_b 5.668
_cell_length_c 12.112
_cell_angle_alpha 90.00
_cell_angle_beta 90.00
_cell_angle_gamma 90.00
_space_group_name_H-M_alt 'I m m m'
_space_group_IT_number 71
_space_group_name_Hall '-I 2 2'
loop_
_atom_site_label
_atom_site_fract_x
_atom_site_fract_y
_atom_site_fract_z
Pu1 0.000 0.000 0.177
Tl1 0.000 0.500 0.000
O1 0.000 0.000 0.000
O2 0.000 0.263 0.331
```

* V: 121.7 Å³/f.u.
* mass density: 10.54 g/cm³
* ΔE_f (raw): -2443 meV per atom

***

[3]
Computed, not measured: an optimized crystal structure of TcNi2W at the GGA-PBE level of DFT.

Cell and atoms, written as CIF:
```
data_TcNi2W
_cell_length_a 8.801
_cell_length_b 2.722
_cell_length_c 4.544
_cell_angle_alpha 90.00
_cell_angle_beta 100.78
_cell_angle_gamma 90.00
_space_group_name_H-M_alt 'C 1 2/m 1'
_space_group_IT_number 12
loop_
_space_group_symop_operation_xyz
'x,y,z'
'-x,-y,-z'
'-x,y,-z'
'x,-y,z'
'x+1/2,y+1/2,z'
'-x+1/2,-y+1/2,-z'
'-x+1/2,y+1/2,-z'
'x+1/2,-y+1/2,z'
loop_
_atom_site_label
_atom_site_fract_x
_atom_site_fract_y
_atom_site_fract_z
Tc1 0.000 0.000 0.000
Ni1 0.249 0.500 0.249
W1 0.000 0.500 0.500
```

* V: 53.5 Å³/f.u.
* mass density: 12.40 g/cm³
* electronic total energy: -8.58 eV/atom

***

[4]
Computed, not measured: an optimized crystal structure of TlV2Cl at the GGA-PBE level of DFT.

Cell and atoms, written as CIF:
```
data_TlV2Cl
_cell_length_a 4.483
_cell_length_b 4.483
_cell_length_c 16.379
_cell_angle_alpha 90.00
_cell_angle_beta 90.00
_cell_angle_gamma 90.00
_space_group_name_H-M_alt 'I -4 2 d'
_space_group_IT_number 122
_space_group_name_Hall 'I -4 2bw'
loop_
_atom_site_label
_atom_site_fract_x
_atom_site_fract_y
_atom_site_fract_z
Tl1 0.000 0.000 0.000
V1 0.093 0.250 0.625
Cl1 0.000 0.000 0.500
```

* V: 82.3 Å³/f.u.
* mass density: 6.89 g/cm³
* ΔE_f (raw): 652 meV per atom

***

[5]
Computed, not measured: an optimized crystal structure of LaSmPu at the GGA-PBE level of DFT.

Cell and atoms, written as CIF:
```
data_LaSmPu
_cell_length_a 3.6058
_cell_length_b 3.6058
_cell_length_c 8.7081
_cell_angle_alpha 90.00
_cell_angle_beta 90.00
_cell_angle_gamma 120.00
_space_group_name_H-M_alt 'P 3 m 1'
_space_group_IT_number 156
loop_
_space_group_symop_operation_xyz
'x,y,z'
'-y,x-y,z'
'-x+y,-x,z'
'-y,-x,z'
'-x+y,y,z'
'x,x-y,z'
loop_
_atom_site_label
_atom_site_fract_x
_atom_site_fract_y
_atom_site_fract_z
La1 0.0000 0.0000 0.0000
Sm1 0.6667 0.3333 0.3507
Pu1 0.3333 0.6667 0.6734
```

* V: 98.1 Å³/f.u.
* mass density: 9.03 g/cm³
* electronic total energy: -7.85 eV/atom

***

[6]
Computed, not measured: an optimized crystal structure of AlInPb2 at the GGA-PBE level of DFT.

Cell and atoms, written as CIF:
```
data_AlInPb2
_cell_length_a 4.760
_cell_length_b 4.765
_cell_length_c 4.856
_cell_angle_alpha 90.00
_cell_angle_beta 90.00
_cell_angle_gamma 90.00
_space_group_name_H-M_alt 'P m m m'
_space_group_IT_number 47
loop_
_space_group_symop_operation_xyz
'x,y,z'
'-x,-y,-z'
'-x,-y,z'
'x,y,-z'
'x,-y,-z'
'-x,y,z'
'-x,y,-z'
'x,-y,z'
loop_
_atom_site_label
_atom_site_fract_x
_atom_site_fract_y
_atom_site_fract_z
Al1 0.000 0.000 0.000
In1 0.500 0.000 0.500
Pb1 0.000 0.500 0.500
Pb2 0.500 0.500 0.000
```

* V: 110.2 Å³/f.u.
* mass density: 8.38 g/cm³
* electronic total energy: -3.31 eV/atom

***

[7]
Computed, not measured: an optimized crystal structure of CaCO3 at the GGA-PBE level of DFT.

Cell and atoms, written as CIF:
```
data_CaCO3
_cell_length_a 6.248
_cell_length_b 8.872
_cell_length_c 3.803
_cell_angle_alpha 90.00
_cell_angle_beta 90.00
_cell_angle_gamma 90.00
_space_group_name_H-M_alt 'C 2 2 21'
_space_group_IT_number 20
loop_
_space_group_symop_operation_xyz
'x,y,z'
'-x,-y,z+1/2'
'x,-y,-z'
'-x,y,-z+1/2'
'x+1/2,y+1/2,z'
'-x+1/2,-y+1/2,z+1/2'
'x+1/2,-y+1/2,-z'
'-x+1/2,y+1/2,-z+1/2'
loop_
_atom_site_label
_atom_site_fract_x
_atom_site_fract_y
_atom_site_fract_z
Ca1 0.000 0.196 0.250
C1 0.141 0.500 0.000
O1 0.000 0.417 0.750
O2 0.243 0.109 0.659
```

* V: 52.7 Å³/f.u.
* mass density: 3.15 g/cm³
* ΔE_f (raw): -1958 meV per atom

***

[8]
Computed, not measured: an optimized crystal structure of Sm4Dy3Sb4 at the GGA-PBE level of DFT.

Cell and atoms, written as CIF:
```
data_Sm4Dy3Sb4
_cell_length_a 4.043
_cell_length_b 9.100
_cell_length_c 17.774
_cell_angle_alpha 90.00
_cell_angle_beta 90.00
_cell_angle_gamma 90.00
_space_group_name_H-M_alt 'I m m m'
_space_group_IT_number 71
_space_group_name_Hall '-I 2 2'
loop_
_atom_site_label
_atom_site_fract_x
_atom_site_fract_y
_atom_site_fract_z
Sm1 0.000 0.176 0.168
Dy1 0.000 0.000 0.404
Dy2 0.000 0.500 0.500
Sb1 0.000 0.290 0.000
Sb2 0.000 0.500 0.228
```

* V: 327.0 Å³/f.u.
* mass density: 8.00 g/cm³
* ΔE_f (raw): -775 meV per atom